Density functional theory data (GGA-PBE) for Tl2InRh after structural relaxation.

a = 9.6891 Å, b = 9.6891 Å, c = 9.6891 Å
α = 20.30°, β = 20.30°, γ = 20.30°
Closest atoms and distances in Å follow each position.
Sites, in units of the cell vectors:
Tl 0.7364 0.7364 0.7364  3 Rh 2.80
Tl 0.2636 0.2636 0.2636  3 Rh 2.80
In 0.5000 0.5000 0.5000  6 Tl 3.39, 6 In 3.41
Rh 0.0000 0.0000 0.0000  6 Tl 2.80

Computed properties:
Offset from the most stable computed form in meV per atom: 208.5
Space-group type: R-3m (166)
ΔE_f in eV per atom: 0.14



Density functional theory data (GGA-PBE) for Tl2InRh after structural relaxation.

a = 7.6132 Å, b = 7.6132 Å, c = 7.6132 Å
α = 156.33°, β = 145.43°, γ = 42.33°
Closest atoms and distances in Å follow each position.
Sites, in units of the cell vectors:
Tl 0.6783 0.6783 0.0000  2 Rh 2.97, 2 Tl 3.12
Tl 0.3217 0.3217 0.0000  2 Rh 2.97, 2 Tl 3.12
In 0.0000 0.5000 0.5000  4 Rh 2.75
Rh 0.5000 0.0000 0.5000  4 In 2.75, 4 Tl 2.97

Computed properties:
Offset from the most stable computed form in meV per atom: 6.1
Space-group type: Immm (71)
ΔE_f in eV per atom: -0.06



Density functional theory data (GGA-PBE) for TlInRh2 after structural relaxation.

a = 5.3353 Å, b = 5.3353 Å, c = 4.5546 Å
α = 82.36°, β = 82.36°, γ = 34.87°
Closest atoms and distances in Å follow each position.
Sites, in units of the cell vectors:
Tl 0.5048 0.5048 0.6027  7 Rh 2.74-2.85
In 0.2472 0.2472 0.1462  7 Rh 2.78-2.82
Rh 0.9774 0.9774 0.1088  3 In 2.78-2.82, 4 Tl 2.79-2.81, 1 Rh 2.98
Rh 0.7707 0.7707 0.6423  3 Tl 2.74-2.85, 4 In 2.78-2.80, 1 Rh 2.98

Computed properties:
Space-group type: Cm (8)
ΔE_f in eV per atom: -0.07



Density functional theory data (GGA-PBE) for TlInRh2 after structural relaxation.

a = 5.4599 Å, b = 5.4599 Å, c = 5.4599 Å
α = 137.94°, β = 137.94°, γ = 61.00°
Closest atoms and distances in Å follow each position.
Sites, in units of the cell vectors:
Tl 0.5000 0.5000 0.0000  8 Rh 2.77-3.06, 4 In 3.06
In 0.7500 0.2500 0.5000  8 Rh 2.77-3.06, 4 Tl 3.06
Rh 0.0000 0.0000 0.0000  4 Tl 2.77, 4 In 3.06, 4 Rh 3.06
Rh 0.2500 0.7500 0.5000  4 In 2.77, 4 Tl 3.06, 4 Rh 3.06

Computed properties:
Space-group type: I-4m2 (119)
ΔE_f in eV per atom: 0.06



Density functional theory data (GGA-PBE) for TlInRh2 after structural relaxation.

a = 4.4816 Å, b = 4.4816 Å, c = 5.6775 Å
α = 78.34°, β = 78.34°, γ = 42.09°
Closest atoms and distances in Å follow each position.
Sites, in units of the cell vectors:
Tl 0.0000 0.0000 0.5000  6 Rh 2.81
In 0.5000 0.5000 0.0000  6 Rh 2.73-2.74
Rh 0.2482 0.2482 0.7635  3 In 2.73-2.74, 3 Tl 2.81
Rh 0.7518 0.7518 0.2365  3 In 2.73-2.74, 3 Tl 2.81

Computed properties:
Space-group type: C2/m (12)
ΔE_f in eV per atom: 0.01



Density functional theory data (GGA-PBE) for TlIn2Rh3 after structural relaxation.

a = 3.1837 Å, b = 3.1837 Å, c = 10.2940 Å
α = 90.00°, β = 90.00°, γ = 90.00°
Closest atoms and distances in Å follow each position.
Sites, in units of the cell vectors:
Tl 0.5000 0.5000 0.5000  8 Rh 2.90, 4 Tl 3.18
In 0.5000 0.5000 0.8373  8 Rh 2.78-2.81
In 0.5000 0.5000 0.1627  8 Rh 2.78-2.81
Rh 0.0000 0.0000 0.0000  8 In 2.81
Rh 0.0000 0.0000 0.6782  4 In 2.78, 4 Tl 2.90
Rh 0.0000 0.0000 0.3218  4 In 2.78, 4 Tl 2.90

Computed properties:
Space-group type: P4/mmm (123)
ΔE_f in eV per atom: -0.25



Density functional theory data (GGA-PBE) for Tl2InRh after structural relaxation.

a = 5.3886 Å, b = 5.3886 Å, c = 5.3886 Å
α = 129.87°, β = 129.87°, γ = 73.62°
Closest atoms and distances in Å follow each position.
Sites, in units of the cell vectors:
Tl 0.0000 0.0000 0.0000  4 Rh 3.14, 4 Tl 3.14, 4 In 3.23
Tl 0.2500 0.7500 0.5000  4 Tl 3.14, 4 In 3.14, 4 Rh 3.23
In 0.5000 0.5000 0.0000  4 Rh 3.14, 8 Tl 3.14-3.23
Rh 0.7500 0.2500 0.5000  8 Tl 3.14-3.23, 4 In 3.14

Computed properties:
Offset from the most stable computed form in meV per atom: 304.2
Space-group type: I-4m2 (119)
ΔE_f in eV per atom: 0.24



Density functional theory data (GGA-PBE) for TlInRh2 after structural relaxation.

a = 3.4244 Å, b = 4.5161 Å, c = 9.0990 Å
α = 90.00°, β = 90.00°, γ = 90.00°
Closest atoms and distances in Å follow each position.
Sites, in units of the cell vectors:
Tl 0.5000 0.2500 0.3729  8 Rh 2.83-2.92
Tl 0.5000 0.7500 0.6271  8 Rh 2.83-2.92
In 0.5000 0.2500 0.8775  8 Rh 2.78-2.83
In 0.5000 0.7500 0.1225  8 Rh 2.78-2.83
Rh 0.0000 0.2500 0.1184  6 In 2.78-2.83, 2 Tl 2.88
Rh 0.0000 0.7500 0.8816  6 In 2.78-2.83, 2 Tl 2.88
Rh 0.0000 0.2500 0.6329  2 In 2.81, 6 Tl 2.83-2.92
Rh 0.0000 0.7500 0.3671  2 In 2.81, 6 Tl 2.83-2.92

Computed properties:
Space-group type: Pmma (51)
ΔE_f in eV per atom: -0.15



Density functional theory data (GGA-PBE) for TlIn4Rh after structural relaxation.

a = 5.9619 Å, b = 5.9619 Å, c = 5.9619 Å
α = 60.00°, β = 60.00°, γ = 60.00°
Closest atoms and distances in Å follow each position.
Sites, in units of the cell vectors:
Tl 0.0000 0.0000 0.0000  12 In 3.50, 4 Rh 3.65
In 0.8731 0.3756 0.3756  6 In 2.97-3.00
In 0.3756 0.3756 0.8731  6 In 2.97-3.00
In 0.3756 0.8731 0.3756  6 In 2.97-3.00
In 0.3756 0.3756 0.3756  6 In 2.97-3.00
Rh 0.7500 0.7500 0.7500  12 In 3.49, 4 Tl 3.65

Computed properties:
Space-group type: F-43m (216)
ΔE_f in eV per atom: 0.37



Density functional theory data (GGA-PBE) for Tl2InRh after structural relaxation.

a = 9.8158 Å, b = 9.8158 Å, c = 9.8158 Å
α = 19.96°, β = 19.96°, γ = 19.96°
Closest atoms and distances in Å follow each position.
Sites, in units of the cell vectors:
Tl 0.9837 0.9837 0.9837  3 Rh 2.82
Tl 0.7538 0.7538 0.7538  3 In 3.37, 9 Tl 3.40-3.57
In 0.5155 0.5155 0.5155  3 Rh 2.71
Rh 0.2470 0.2470 0.2470  3 In 2.71, 3 Tl 2.82

Computed properties:
Offset from the most stable computed form in meV per atom: 94.8
Space-group type: R3m (160)
ΔE_f in eV per atom: 0.03



Density functional theory data (GGA-PBE) for Tl2InRh after structural relaxation.

a = 3.2634 Å, b = 6.6684 Å, c = 5.2994 Å
α = 67.84°, β = 90.00°, γ = 90.00°
Closest atoms and distances in Å follow each position.
Sites, in units of the cell vectors:
Tl 0.0000 0.1355 0.6856  2 Rh 2.78
Tl 0.0000 0.8645 0.3144  2 Rh 2.78
In 0.5000 0.5000 0.0000  2 Rh 2.65
Rh 0.5000 0.5000 0.5000  2 In 2.65, 4 Tl 2.78

Computed properties:
Offset from the most stable computed form in meV per atom: 145.8
Space-group type: P2/m (10)
ΔE_f in eV per atom: 0.08



Density functional theory data (GGA-PBE) for TlInRh2 after structural relaxation.

a = 8.4931 Å, b = 8.4931 Å, c = 8.4931 Å
α = 21.82°, β = 21.82°, γ = 21.82°
Closest atoms and distances in Å follow each position.
Sites, in units of the cell vectors:
Tl 0.5000 0.5000 0.5000  6 Rh 2.82
In 0.0000 0.0000 0.0000  6 Rh 2.74
Rh 0.7478 0.7478 0.7478  3 In 2.74, 3 Tl 2.82
Rh 0.2522 0.2522 0.2522  3 In 2.74, 3 Tl 2.82

Computed properties:
Space-group type: R-3m (166)
ΔE_f in eV per atom: 0.01



Density functional theory data (GGA-PBE) for Tl2InRh after structural relaxation.

a = 7.3401 Å, b = 7.3401 Å, c = 7.3401 Å
α = 155.53°, β = 142.78°, γ = 45.05°
Closest atoms and distances in Å follow each position.
Sites, in units of the cell vectors:
Tl 0.9356 0.9356 0.0000  2 Rh 3.04, 2 Tl 3.11, 4 In 3.36
Tl 0.2510 0.7510 0.5000  4 Rh 2.81, 2 Tl 3.11
In 0.5708 0.5708 0.0000  2 Rh 2.80, 2 In 3.11
Rh 0.7426 0.2426 0.5000  2 In 2.80, 6 Tl 2.81-3.04, 2 Rh 3.11

Computed properties:
Offset from the most stable computed form in meV per atom: 75.0
Space-group type: Imm2 (44)
ΔE_f in eV per atom: 0.01



Density functional theory data (GGA-PBE) for TlIn2Rh2 after structural relaxation.

a = 7.6897 Å, b = 7.6897 Å, c = 3.2604 Å
α = 90.00°, β = 90.00°, γ = 90.00°
Closest atoms and distances in Å follow each position.
Sites, in units of the cell vectors:
Tl 0.0000 0.0000 0.0000  4 Rh 2.93, 2 Tl 3.26
Tl 0.5000 0.5000 0.0000  4 Rh 2.93, 2 Tl 3.26
Rh 0.3506 0.8506 0.0000  6 In 2.75-2.80, 2 Tl 2.93
Rh 0.8506 0.6494 0.0000  6 In 2.75-2.80, 2 Tl 2.93
Rh 0.6494 0.1494 0.0000  6 In 2.75-2.80, 2 Tl 2.93
Rh 0.1494 0.3506 0.0000  6 In 2.75-2.80, 2 Tl 2.93
In 0.1470 0.6470 0.5000  6 Rh 2.75-2.80
In 0.6470 0.8530 0.5000  6 Rh 2.75-2.80
In 0.8530 0.3530 0.5000  6 Rh 2.75-2.80
In 0.3530 0.1470 0.5000  6 Rh 2.75-2.80

Computed properties:
Offset from the most stable computed form in meV per atom: 0.0
Space-group type: P4/mbm (127)
ΔE_f in eV per atom: -0.23